Computed, not measured: GaSb2IN after structural relaxation at the PBE-GGA level of DFT.

CIF file:
```
data_GaSb2IN
_cell_length_a 4.868
_cell_length_b 4.868
_cell_length_c 4.886
_cell_angle_alpha 90.00
_cell_angle_beta 90.00
_cell_angle_gamma 90.00
_space_group_name_H-M_alt 'P 4/m m m'
_space_group_IT_number 123
_space_group_name_Hall '-P 4 2'
loop_
_atom_site_label
_atom_site_fract_x
_atom_site_fract_y
_atom_site_fract_z
Ga1 0.000 0.000 0.000
Sb1 0.000 0.500 0.500
I1 0.500 0.500 0.000
N1 0.500 0.500 0.500
```

## Properties
N(E_F) (states/eV/f.u.): 2.8
Formation energy without anion corrections (eV per atom): 0.732
Volume (Å³ per cell): 115.8
Theoretical density (Mg/m³): 6.5
Size of the total moment (μB/cell): 0.00



Computed, not measured: GaSb2IN after structural relaxation at the PBE-GGA level of DFT.

CIF file:
```
data_GaSb2IN
_cell_length_a 5.345
_cell_length_b 5.345
_cell_length_c 5.342
_cell_angle_alpha 90.00
_cell_angle_beta 90.00
_cell_angle_gamma 90.00
_space_group_name_H-M_alt 'P 4/m m m'
_space_group_IT_number 123
_space_group_name_Hall '-P 4 2'
loop_
_atom_site_label
_atom_site_fract_x
_atom_site_fract_y
_atom_site_fract_z
Ga1 0.000 0.000 0.000
Sb1 0.000 0.500 0.000
I1 0.000 0.000 0.500
N1 0.500 0.500 0.500
```

## Properties
N(E_F) (states/eV/f.u.): 8.0
Formation energy without anion corrections (eV per atom): 1.704
Volume (Å³ per cell): 152.7
Theoretical density (Mg/m³): 4.9
Size of the total moment (μB/cell): 0.00



Computed, not measured: ScGaI2N after structural relaxation at the PBE-GGA level of DFT.

CIF file:
```
data_ScGaI2N
_cell_length_a 5.999
_cell_length_b 5.999
_cell_length_c 4.026
_cell_angle_alpha 90.00
_cell_angle_beta 90.00
_cell_angle_gamma 90.00
_space_group_name_H-M_alt 'P 4/m m m'
_space_group_IT_number 123
_space_group_name_Hall '-P 4 2'
loop_
_atom_site_label
_atom_site_fract_x
_atom_site_fract_y
_atom_site_fract_z
Sc1 0.000 0.000 0.000
Ga1 0.500 0.500 0.500
I1 0.000 0.500 0.000
N1 0.000 0.000 0.500
```

## Properties
N(E_F) (states/eV/f.u.): 1.8
Formation energy without anion corrections (eV per atom): -0.279
Volume (Å³ per cell): 144.9
Theoretical density (Mg/m³): 4.4
Size of the total moment (μB/cell): 1.01



Q: Which of these has the highest formation energy without anion corrections?
A: number 2



Q: What is the formula in the third record?
A: ScGaI2N